{"formula": "Pr8Ga2Os", "functional": "GGA-PBE", "state": "relaxed", "lattice": [[-1.9747, -1.0942, -4.6649], [2.1303, -6.6483, 0.6577], [-7.5327, 0.4043, 5.9725]], "species": ["Pr", "Pr", "Pr", "Pr", "Pr", "Pr", "Pr", "Pr", "Ga", "Ga", "Os"], "fractional_positions": [[0.6547, 0.9599, 0.3094], [0.9779, 0.2153, 0.9557], [0.4089, 0.5616, 0.8179], [0.0221, 0.7847, 0.0443], [0.7938, 0.6980, 0.5876], [0.3453, 0.0401, 0.6906], [0.5911, 0.4384, 0.1821], [0.2062, 0.3020, 0.4124], [0.8116, 0.2702, 0.6232], [0.1884, 0.7298, 0.3768], [0.5000, 0.0000, 0.0000]], "e_tot_ev_per_atom": -5.25, "polymorph_energy_ev_per_fu": 0.000, "sg": "No. 12"}

---

{"formula": "NdErAg6", "functional": "GGA-PBE", "state": "relaxed", "lattice": [[-2.5891, 2.6164, 2.7316], [0.0324, -1.2147, 5.0400], [4.9489, 6.0875, 2.7058]], "species": ["Ag", "Ag", "Ag", "Ag", "Ag", "Ag", "Nd", "Er"], "fractional_positions": [[0.7522, 0.1320, 0.3636], [0.2478, 0.8680, 0.6364], [0.2535, 0.3766, 0.1164], [0.5057, 0.2352, 0.7534], [0.7465, 0.6234, 0.8836], [0.4943, 0.7648, 0.2466], [0.0000, 0.5000, 0.5000], [0.0000, 0.0000, 0.0000]], "e_tot_ev_per_atom": -3.50, "sg": "No. 12"}